[1]
This record from Alexandria describes a geometry-optimized GeCI2O structure. The functional is PBE.

As for the size of the total moment: 1.2 μB per formula unit. The uncorrected formation energy comes out at 1154 meV/atom.

Cell: 5.718 5.718 3.690 Å, 90.00 90.00 90.00°
Space group P4/mmm (No. 123)
Unique sites:
Ge  0.000  0.000  0.000
C  0.500  0.500  0.500
I  0.000  0.500  0.000
O  0.000  0.000  0.500

---

[2]
This record from Alexandria describes a geometry-optimized Pr6Ge2CI3 structure. The functional is PBE.

As for the size of the total moment: 0.0 μB per formula unit. The uncorrected formation energy comes out at -894 meV/atom.

Cell: 7.345 12.706 8.217 Å, 90.00 107.30 90.00°
Space group C2/m (No. 12)
Unique sites:
Pr  0.214  0.152  0.188
Pr  0.240  0.000  0.810
Ge  0.000  0.334  0.000
C  0.000  0.000  0.000
I  0.000  0.173  0.500
I  0.000  0.500  0.500

---

[3]
This record from Alexandria describes a geometry-optimized GePt2CI structure. The functional is PBE.

As for the size of the total moment: 1.1 μB per formula unit. The uncorrected formation energy comes out at 1867 meV/atom.

Cell: 4.582 4.582 6.306 Å, 90.00 90.00 90.00°
Space group P4/mmm (No. 123)
Unique sites:
Ge  0.000  0.000  0.000
Pt  0.000  0.500  0.000
C  0.500  0.500  0.500
I  0.000  0.000  0.500